{
  "formula": "PrEr3In2",
  "functional": "PBE",
  "state": "relaxed",
  "lattice": [[-2.023, -4.233, 2.623], [9.039, -1.558, -1.050], [-3.636, 5.643, 6.305]],
  "species": ["Pr", "Pr", "Er", "Er", "Er", "Er", "Er", "Er", "In", "In", "In", "In"],
  "frac_coords": [[0.868, 0.736, 0.907], [0.132, 0.264, 0.093], [0.307, 0.614, 0.604], [0.940, 0.879, 0.593], [0.615, 0.230, 0.688], [0.385, 0.770, 0.312], [0.060, 0.121, 0.407], [0.693, 0.386, 0.396], [0.518, 0.036, 0.868], [0.482, 0.964, 0.132], [0.774, 0.548, 0.143], [0.226, 0.452, 0.857]],
  "formation_enthalpy_0k_kj_per_mol_atoms": -24.0,
  "relative_energy_kj_per_mol_atoms": 9.4,
  "rho_g_cm3": 8.2,
  "magnetic_moment_mub_per_cell": 0.8,
  "final_energy_ry_per_atom": -0.3116
}